# SnTePbSe

A relaxed SnTePbSe crystal (PBE, the Alexandria database).

Properties
* total DFT energy (no corrections): -47.99 eV for the cell shown
* magnetic moment: 0.0 μB per formula unit
* density of states at the Fermi level: 0.5 states/eV/cell
* energy relative to the lowest polymorph listed for this composition: 0.0 meV per atom
* raw formation energy: -0.41 eV per atom
* volume: 31.30 A^3/atom
* SG: R3m, No. 160

a = 4.4560 Å, b = 4.4560 Å, c = 21.8422 Å
α = 90.00°, β = 90.00°, γ = 120.00°
With the nearest neighbours (Å) after each atom.
Fractional coordinates of all 12 atoms:
Sn 0.0000 0.0000 0.0000  3 Se 3.06, 3 Te 3.18
Sn 0.3333 0.6667 0.6667  3 Se 3.06, 3 Te 3.18
Sn 0.6667 0.3333 0.3333  3 Se 3.06, 3 Te 3.18
Te 0.0000 0.0000 0.2478  3 Sn 3.18, 3 Pb 3.27
Te 0.3333 0.6667 0.9144  3 Sn 3.18, 3 Pb 3.27
Te 0.6667 0.3333 0.5811  3 Sn 3.18, 3 Pb 3.27
Pb 0.0000 0.0000 0.4890  3 Se 3.11, 3 Te 3.27
Pb 0.3333 0.6667 0.1556  3 Se 3.11, 3 Te 3.27
Pb 0.6667 0.3333 0.8223  3 Se 3.11, 3 Te 3.27
Se 0.0000 0.0000 0.7424  3 Sn 3.06, 3 Pb 3.11
Se 0.3333 0.6667 0.4090  3 Sn 3.06, 3 Pb 3.11
Se 0.6667 0.3333 0.0757  3 Sn 3.06, 3 Pb 3.11